DFT (PBE) results for crystalline LiTbSnPb at its relaxed geometry.

Output
* energy: -15.67 eV for the cell shown
* magnetization: 0.0 Bohr magnetons per cell
* energy relative to the lowest polymorph listed for this composition: 0.133 eV per atom

Unit cell a=5.2681 b=5.2681 c=5.2681 alpha=60.00 beta=60.00 gamma=60.00
Last column: nearest neighbours and their distance in Å.
Positions (direct):
Sn  0.2500  0.2500  0.2500  4 Tb 3.23, 4 Li 3.23
Pb  0.7500  0.7500  0.7500  4 Li 3.23, 4 Tb 3.23
Li  0.0000  0.0000  0.0000  4 Pb 3.23, 4 Sn 3.23
Tb  0.5000  0.5000  0.5000  4 Pb 3.23, 4 Sn 3.23

=====

DFT (PBE) results for crystalline LiTbSnPb at its relaxed geometry.

Output
* energy: -16.20 eV for the cell shown
* magnetization: 0.0 Bohr magnetons per cell
* energy relative to the lowest polymorph listed for this composition: 0.000 eV per atom

Unit cell a=4.4416 b=4.7899 c=4.6698 alpha=90.00 beta=90.00 gamma=90.00
Last column: nearest neighbours and their distance in Å.
Positions (direct):
Tb  0.5000  0.0000  0.5000  4 Sn 3.22, 4 Pb 3.27, 4 Li 3.34
Li  0.5000  0.5000  0.0000  4 Pb 3.22, 4 Sn 3.27, 4 Tb 3.34
Sn  0.0000  0.0000  0.0000  4 Tb 3.22, 4 Li 3.27, 4 Pb 3.34
Pb  0.0000  0.5000  0.5000  4 Li 3.22, 4 Tb 3.27, 4 Sn 3.34

=====

DFT (PBE) results for crystalline LiTcSnPb2 at its relaxed geometry.

Output
* energy: -18.44 eV for the cell shown
* magnetization: 2.8 Bohr magnetons per cell

Unit cell a=5.6287 b=5.5950 c=5.6287 alpha=90.00 beta=90.00 gamma=90.00
Last column: nearest neighbours and their distance in Å.
Positions (direct):
Pb  0.5000  0.0000  0.0000  2 Sn 2.81
Pb  0.0000  0.0000  0.5000  2 Sn 2.81
Tc  0.0000  0.5000  0.0000  2 Sn 2.80
Li  0.5000  0.5000  0.5000  8 Pb 3.97, 4 Tc 3.98
Sn  0.0000  0.0000  0.0000  2 Tc 2.80, 4 Pb 2.81

=====

DFT (PBE) results for crystalline LiSnTe3Pb at its relaxed geometry.

Output
* energy: -42.90 eV for the cell shown
* magnetization: 0.0 Bohr magnetons per cell
* uncorrected formation energy: -0.400 eV/atom

Unit cell a=4.3014 b=9.1367 c=9.6896 alpha=102.61 beta=90.00 gamma=90.00
Last column: nearest neighbours and their distance in Å.
Positions (direct):
Te  0.2500  0.5601  0.8231  3 Sn 3.04-3.11, 2 Pb 3.32
Te  0.7500  0.9006  0.1155  1 Li 2.78, 2 Sn 3.03
Te  0.7500  0.2354  0.5173  3 Li 2.79-2.80
Te  0.2500  0.0994  0.8845  1 Li 2.78, 2 Sn 3.03
Te  0.7500  0.4399  0.1769  3 Sn 3.04-3.11, 2 Pb 3.32
Te  0.2500  0.7646  0.4827  3 Li 2.79-2.80
Sn  0.2500  0.6747  0.1421  6 Te 3.03-3.22
Sn  0.7500  0.3253  0.8579  6 Te 3.03-3.22
Li  0.7500  0.9249  0.4068  4 Te 2.78-2.80, 2 Li 2.95
Li  0.2500  0.0751  0.5932  4 Te 2.78-2.80, 2 Li 2.95
Pb  0.7500  0.8025  0.7376  7 Te 3.24-3.58, 1 Li 3.62
Pb  0.2500  0.1975  0.2624  7 Te 3.24-3.58, 1 Li 3.62

=====

- Number 1 is which compound?
  LiTbSnPb

=====

- The highest magnetization belongs to which entry?
  LiTcSnPb2

=====

- Look up the energy of the first one.
  -15.67 eV for the cell shown